[1]
## CeSm4Ho4 (PBE)

Data for CeSm4Ho4 after structural relaxation.

Cell lengths 7.9799, 7.9799, 7.9799 Å; angles 95.77, 95.77, 143.03 degrees
Positions (direct):
Ce  0.0000  0.0000  0.0000
Sm  0.0000  0.3303  0.3303
Sm  0.0000  0.6697  0.6697
Sm  0.3303  0.0000  0.3303
Sm  0.6697  0.0000  0.6697
Ho  0.3352  0.3352  0.6704
Ho  0.3352  0.6648  0.0000
Ho  0.6648  0.3352  0.0000
Ho  0.6648  0.6648  0.3296

Output
The energy of formation comes out at 0.0420 eV/atom. As for the calculated volume: 32.20 Å³/atom. Its symmetry is No. 139. As for the total energy: -0.349 Ry/atom. The calculation puts the magnetic moment at 1.308 μB per formula unit.


[2]
## ErPuIr (PBE)

Data for ErPuIr after structural relaxation.

Cell lengths 8.3803, 8.3803, 8.3803 Å; angles 105.74, 92.22, 133.64 degrees
Positions (direct):
Er  0.0045  0.2500  0.2545
Er  0.1125  0.5861  0.0265
Er  0.1672  0.1239  0.5433
Er  0.5596  0.0861  0.9735
Er  0.5806  0.6239  0.4567
Er  0.9955  0.7500  0.7455
Pu  0.3627  0.3627  0.0000
Pu  0.3627  0.8627  0.5000
Pu  0.5738  0.1752  0.3930
Pu  0.5738  0.6808  0.8986
Pu  0.7822  0.1808  0.6070
Pu  0.7822  0.6752  0.1014
Ir  0.2408  0.0780  0.1736
Ir  0.2408  0.5672  0.6628
Ir  0.5374  0.8121  0.2253
Ir  0.5867  0.3121  0.7747
Ir  0.9044  0.0672  0.8264
Ir  0.9044  0.5780  0.3372

Output
The energy of formation comes out at -0.2646 eV/atom. As for the calculated volume: 21.55 Å³/atom. Its symmetry is No. 46. As for the total energy: -0.699 Ry/atom. For the excess energy over the best structure of this formula in the dataset, the calculation gives 231 meV/atom. The calculation puts the magnetic moment at 0.001 μB per formula unit.